Entry 1:
Computed, not measured: a geometry-optimized HgPd2 structure at the GGA-PBE level of DFT.

Lattice parameters (Å, degrees): 3.400 3.400 5.074 109.58 109.58 90.00
Fractional positions:
Pd 0.333 0.333 0.665
Pd 0.667 0.667 0.335
Hg 0.000 0.000 0.000

Results
energy	-3.677	eV/atom

Entry 2:
Computed, not measured: a geometry-optimized Hg5Pd structure at the GGA-PBE level of DFT.

Lattice parameters (Å, degrees): 3.060 7.430 7.434 71.16 78.12 78.11
Fractional positions:
Hg 0.379 0.958 0.284
Hg 0.027 0.501 0.445
Hg 0.677 0.042 0.604
Hg 0.676 0.659 0.989
Hg 0.380 0.340 0.900
Pd 0.028 0.000 0.944

Results
energy above the lowest structure with this stoichiometry	0	meV/atom
energy	-1.134	eV/atom

Entry 3:
Computed, not measured: a geometry-optimized Hg3Pd8 structure at the GGA-PBE level of DFT.

Lattice parameters (Å, degrees): 6.120 6.120 6.120 96.74 96.74 96.74
Fractional positions:
Pd 0.690 0.929 0.036
Pd 0.360 0.360 0.360
Pd 0.071 0.964 0.310
Pd 0.310 0.071 0.964
Pd 0.036 0.690 0.929
Pd 0.964 0.310 0.071
Pd 0.929 0.036 0.690
Pd 0.640 0.640 0.640
Hg 0.500 0.000 0.500
Hg 0.500 0.500 0.000
Hg 0.000 0.500 0.500

Results
energy	-3.592	eV/atom

Entry 4:
Computed, not measured: a geometry-optimized Hg6Pd5 structure at the GGA-PBE level of DFT.

Lattice parameters (Å, degrees): 4.668 6.467 8.081 113.59 106.79 90.00
Fractional positions:
Pd 0.000 0.500 0.000
Pd 0.329 0.829 0.658
Pd 0.338 0.338 0.675
Pd 0.662 0.662 0.325
Pd 0.671 0.171 0.342
Hg 0.500 0.234 0.000
Hg 0.162 0.404 0.324
Hg 0.838 0.080 0.676
Hg 0.162 0.920 0.324
Hg 0.838 0.596 0.676
Hg 0.500 0.766 0.000

Results
energy	-2.657	eV/atom

Number 1: DFT formation energy -0.345 eV/f.u., ρ 13.29 g/cm3. Number 2: DFT formation energy -0.104 eV/f.u., ρ 11.90 g/cm3. Number 3: DFT formation energy 2.940 eV/f.u., ρ 10.77 g/cm3. Number 4: DFT formation energy -1.452 eV/f.u., ρ 13.58 g/cm3.